1.
The following is a PBE-GGA calculation of a relaxed structure of Li6B4O9, from the Alexandria database.

The structure in extended XYZ format:
```
76
Lattice="3.3952 0.0000 0.0000 0.0000 23.7318 0.0000 -3.2502 0.0000 9.2447" Properties=species:S:1:pos:R:3 pbc="T T T"
Li -0.7147 4.8975 2.7849
Li -2.3398 6.9684 7.4073
Li -0.8751 13.2567 4.2330
Li -2.5002 22.3411 8.8553
Li -0.7664 0.9897 4.5196
Li -2.3915 10.8762 9.1420
Li 0.9464 3.4105 0.1974
Li -0.6787 8.4554 4.8197
Li -0.8617 16.7259 5.9991
Li 0.7634 18.8718 1.3768
Li 0.7962 14.6797 1.6420
Li -0.8289 20.9181 6.2644
Li 0.9739 2.8138 2.9803
Li -0.6512 9.0521 7.6027
Li -0.6184 4.8600 7.8679
Li 1.0067 7.0059 3.2456
Li 0.8237 15.2764 4.4250
Li -0.8014 20.3213 9.0473
Li 2.5365 12.8556 0.1027
Li 0.9114 22.7421 4.7251
Li 2.6452 1.3908 0.3894
Li 1.0201 10.4752 5.0117
Li 2.4848 16.7634 1.8374
Li 0.8597 18.8344 6.4598
B -0.6940 3.5178 5.2113
B 0.9311 8.3481 0.5889
B 0.9625 5.7730 0.7630
B -0.6627 6.0929 5.3853
B -0.8465 13.9336 6.4953
B 0.7786 21.6641 1.8729
B 0.8923 0.5409 2.1944
B -0.7328 11.3250 6.8168
B 0.8778 12.4068 2.4279
B -0.7473 23.1909 7.0503
B -0.6336 2.0677 7.3718
B 0.9915 9.7982 2.7494
B 0.8077 17.6389 3.8594
B -0.8175 17.9588 8.4817
B -0.7861 15.3838 8.6558
B 0.8390 20.2140 4.0334
O -0.7299 3.3295 3.8860
O -2.3550 8.5364 8.5084
O -2.3168 5.4955 8.6781
O -0.6917 6.3704 4.0557
O -0.8771 14.8312 5.4898
O 0.7480 20.7666 0.8674
O 0.8326 12.5004 1.0813
O -0.7925 23.0974 5.7037
O -0.8710 12.5764 6.1161
O 0.7541 23.0213 1.4938
O -0.6957 2.3446 6.0084
O 0.9294 9.5213 1.3861
O -0.6518 4.7368 5.8904
O 0.9734 7.1291 1.2680
O 0.9521 1.6318 1.3523
O -0.6730 10.2341 5.9746
O 0.9835 4.8073 1.7361
O -0.6417 7.0586 6.3584
O 0.7867 16.6732 2.8863
O -0.8385 18.9245 7.5086
O 0.8180 13.4978 3.2701
O -0.8071 22.1000 7.8924
O -0.8284 16.6027 7.9767
O 0.7968 18.9950 3.3543
O -0.7844 14.2105 7.8586
O 0.8407 21.3872 3.2363
O -0.6091 0.7105 7.7510
O 1.0160 11.1554 3.1286
O 0.9375 0.6345 3.5410
O -0.6876 11.2314 8.1634
O -0.6030 2.9652 8.3773
O 1.0221 8.9007 3.7549
O 0.8367 17.3614 5.1890
O 2.4618 18.2363 0.5666
O 2.5000 15.1954 0.7363
O 0.8749 20.4023 5.3587
```

Output
- distance to the lowest polymorph of the same formula (eV/atom) = 0.000
- ΔE_f (raw) (eV/atom) = -2.34
- total moment (μB/cell) = 0.00
- crystal system = monoclinic
- symmetry = No. 14

---

2.
The following is a PBE-GGA calculation of a relaxed structure of LiBO3, from the Alexandria database.

The structure in extended XYZ format:
```
5
Lattice="3.3264 0.0000 0.0000 0.0000 3.3264 0.0000 0.0000 0.0000 3.3264" Properties=species:S:1:pos:R:3 pbc="T T T"
Li 0.0000 0.0000 0.0000
B 1.6632 1.6632 1.6632
O 0.0000 1.6632 1.6632
O 1.6632 0.0000 1.6632
O 1.6632 1.6632 0.0000
```

Output
- ΔE_f (raw) (eV/atom) = -0.80
- total moment (μB/cell) = 1.79
- crystal system = cubic
- symmetry = No. 221

---

3.
The following is a PBE-GGA calculation of a relaxed structure of LiBO2, from the Alexandria database.

The structure in extended XYZ format:
```
12
Lattice="3.0623 0.0000 0.0000 -1.5311 2.6520 0.0000 0.0000 0.0000 14.4075" Properties=species:S:1:pos:R:3 pbc="T T T"
Li 0.0000 0.0000 0.0000
Li 0.0000 1.7680 9.6050
Li 1.5312 0.8840 4.8025
B 0.0000 0.0000 7.2038
B 0.0000 1.7680 2.4013
B 1.5312 0.8840 12.0063
O 0.0000 0.0000 5.9428
O 0.0000 0.0000 8.4647
O 0.0000 1.7680 1.1403
O 0.0000 1.7680 3.6622
O 1.5312 0.8840 10.7453
O 1.5312 0.8840 13.2672
```

Output
- ΔE_f (raw) (eV/atom) = -2.15
- total moment (μB/cell) = 0.00
- crystal system = trigonal
- symmetry = No. 166

---

4.
The following is a PBE-GGA calculation of a relaxed structure of LiB3O, from the Alexandria database.

The structure in extended XYZ format:
```
5
Lattice="3.6265 0.0000 0.0000 0.0000 3.6265 0.0000 0.0000 0.0000 3.6265" Properties=species:S:1:pos:R:3 pbc="T T T"
Li 0.0000 0.0000 0.0000
B 0.0000 0.0000 1.8132
B 0.0000 1.8132 0.0000
B 1.8132 0.0000 0.0000
O 1.8132 1.8132 1.8132
```

Output
- distance to the lowest polymorph of the same formula (eV/atom) = 0.656
- ΔE_f (raw) (eV/atom) = 2.31
- total moment (μB/cell) = 0.00
- crystal system = cubic
- symmetry = No. 221

---

5.
The following is a PBE-GGA calculation of a relaxed structure of Li3B2O6, from the Alexandria database.

The structure in extended XYZ format:
```
11
Lattice="-1.5129 1.5129 9.5420 1.5129 -1.5129 9.5420 1.5129 1.5129 -9.5420" Properties=species:S:1:pos:R:3 pbc="T T T"
Li 0.0000 0.0000 0.0000
Li 0.0000 0.0000 3.9706
Li 0.0000 0.0000 15.1134
B 0.0000 0.0000 7.2920
B 0.0000 0.0000 11.7921
O 1.5129 0.0000 1.5349
O 0.0000 0.0000 5.9265
O 1.5129 0.0000 8.0071
O 0.0000 1.5129 1.5349
O 0.0000 0.0000 13.1575
O 0.0000 1.5129 8.0071
```

Output
- ΔE_f (raw) (eV/atom) = -1.47
- total moment (μB/cell) = 0.00
- crystal system = tetragonal
- symmetry = No. 139

---

6.
The following is a PBE-GGA calculation of a relaxed structure of Li6B4O9, from the Alexandria database.

The structure in extended XYZ format:
```
38
Lattice="6.7042 0.0000 0.0000 -1.1009 7.0247 0.0000 -1.6032 -0.8529 8.3714" Properties=species:S:1:pos:R:3 pbc="T T T"
Li 0.1370 1.3642 0.2001
Li -0.2258 0.0578 3.1899
Li -1.1375 4.1758 5.9519
Li 0.1898 4.2681 3.6754
Li 0.6283 2.5425 7.1842
Li 1.8526 1.8372 2.2636
Li 2.1475 4.3346 6.1079
Li 3.3717 3.6292 1.1872
Li 3.8102 1.9037 4.6960
Li 5.1376 1.9960 2.4195
Li 4.2259 6.1139 5.1815
Li 3.8631 4.8075 8.1713
B 0.8069 4.0410 0.5614
B 0.4867 6.1568 1.7724
B 0.5160 2.1278 4.7572
B 1.2537 -0.2619 5.4054
B 2.7463 6.4336 2.9660
B 3.4840 4.0440 3.6142
B 3.5133 0.0149 6.5990
B 3.1931 2.1307 7.8100
O -0.5958 6.8266 1.3699
O -1.1540 3.8025 7.7833
O 0.2087 1.9414 3.4464
O -0.5765 5.9302 4.6357
O 0.5593 4.7475 1.8132
O 1.5209 2.8669 0.6214
O 0.5302 3.3590 5.3487
O 0.8603 1.0610 5.6514
O 2.6660 -0.1342 2.3447
O 1.3340 6.3059 6.0267
O 3.1398 5.1108 2.7200
O 3.4698 2.8128 3.0227
O 2.4792 3.3048 7.7500
O 3.4408 1.4242 6.5582
O 4.5765 0.2416 3.7357
O 3.7913 4.2304 4.9250
O 5.1541 2.3692 0.5882
O 4.5959 -0.6548 7.0015
```

Output
- distance to the lowest polymorph of the same formula (eV/atom) = 0.061
- ΔE_f (raw) (eV/atom) = -2.28
- total moment (μB/cell) = 0.00
- crystal system = triclinic
- symmetry = No. 2

---

7.
The following is a PBE-GGA calculation of a relaxed structure of Li2BO, from the Alexandria database.

The structure in extended XYZ format:
```
16
Lattice="7.8774 0.0000 0.0000 0.0000 7.8774 0.0000 0.0000 0.0000 3.0103" Properties=species:S:1:pos:R:3 pbc="T T T"
Li 0.6179 1.9693 0.3763
Li 1.9693 4.5566 1.1289
Li 1.9693 7.2594 2.6340
Li 3.3208 1.9693 1.8814
Li 4.5566 5.9080 1.8814
Li 5.9080 0.6179 2.6340
Li 5.9080 3.3208 1.1289
Li 7.2594 5.9080 0.3763
B 0.0000 0.0000 1.5052
B 0.0000 3.9387 2.2577
B 3.9387 0.0000 0.7526
B 3.9387 3.9387 0.0000
O 0.0000 0.0000 0.0000
O 0.0000 3.9387 0.7526
O 3.9387 0.0000 2.2577
O 3.9387 3.9387 1.5052
```

Output
- distance to the lowest polymorph of the same formula (eV/atom) = 0.000
- ΔE_f (raw) (eV/atom) = -0.27
- total moment (μB/cell) = 0.00
- crystal system = tetragonal
- symmetry = No. 122

---

8.
The following is a PBE-GGA calculation of a relaxed structure of LiB2O3, from the Alexandria database.

The structure in extended XYZ format:
```
12
Lattice="7.2100 -1.2252 0.0000 7.2100 1.2252 0.0000 -2.3146 0.0000 6.0425" Properties=species:S:1:pos:R:3 pbc="T T T"
Li 1.2392 0.0000 2.4196
Li 10.8662 0.0000 3.6229
B 1.3248 0.0000 5.0686
B 5.5958 0.0000 2.1235
B 6.5096 0.0000 3.9189
B 10.7806 0.0000 0.9739
O -0.2422 0.0000 4.6484
O 3.0143 0.0000 1.6856
O 5.1062 0.0000 3.5606
O 6.9991 0.0000 2.4819
O 9.0911 0.0000 4.3569
O 12.3475 0.0000 1.3940
```

Output
- ΔE_f (raw) (eV/atom) = -1.87
- total moment (μB/cell) = 0.22
- crystal system = monoclinic
- symmetry = No. 12

---

9.
The following is a PBE-GGA calculation of a relaxed structure of Li20B54O, from the Alexandria database.

The structure in extended XYZ format:
```
75
Lattice="8.2165 0.0000 0.0000 4.1081 7.1351 0.0000 0.1348 0.2075 12.5417" Properties=species:S:1:pos:R:3 pbc="T T T"
Li 0.0000 0.0000 0.0000
Li 0.2006 0.2715 8.5974
Li 2.3598 3.8467 0.2713
Li 4.3024 5.2622 4.3858
Li 2.3830 1.6487 12.4158
Li 4.5244 3.6534 11.1381
Li 4.8530 4.1820 0.9673
Li 3.5646 1.8265 1.9878
Li 4.2449 0.2464 8.6339
Li 6.4249 3.8704 8.6217
Li 4.4320 0.3018 0.0001
Li 5.4997 2.0142 5.9488
Li 8.3901 6.7462 4.3472
Li 7.1348 4.2722 4.3416
Li 6.2063 2.0557 0.2928
Li 8.0825 4.7482 0.0317
Li 8.4114 5.0370 8.0719
Li 9.9105 4.0753 4.3529
Li 8.4726 0.5396 4.3913
Li 10.4107 3.8033 8.5694
B 1.0735 1.7686 10.5759
B 3.4139 5.8515 2.2421
B 3.4426 5.8731 6.4751
B 1.0676 1.7474 2.2765
B 3.4535 5.8729 10.6270
B 1.0900 1.7711 6.4806
B 5.1165 5.8995 2.2903
B 1.9247 0.2942 10.5747
B 1.9229 0.2956 6.4872
B 1.9022 0.2758 2.2609
B 5.1341 5.8826 6.4856
B 5.1518 5.8818 10.6442
B 6.3609 6.2920 11.8751
B 6.2879 6.1809 1.0273
B 6.3183 6.2087 3.5085
B 6.3309 6.2239 5.2309
B 6.3568 6.1830 7.7002
B 6.3819 6.1855 9.4027
B 6.6181 4.9772 6.4534
B 6.6464 4.9999 10.6914
B 7.5407 6.5638 6.4499
B 7.5191 6.5291 2.2475
B 6.6341 4.9834 2.2500
B 7.5619 6.5398 10.6371
B 7.4586 3.4820 6.4584
B 9.2600 6.5926 6.4488
B 7.5050 3.5215 10.6786
B 7.4646 3.4734 2.2232
B 9.2308 6.5331 2.2589
B 9.2630 6.5284 10.6268
B 7.5082 1.7743 10.6418
B 6.6404 0.2622 2.2237
B 6.6695 0.2932 10.6174
B 7.4983 1.7191 2.2716
B 6.6938 0.2710 6.4980
B 7.5516 1.7378 6.5041
B 8.3914 2.6969 9.4051
B 8.4017 2.6717 7.7077
B 8.3663 2.6244 3.4929
B 10.4431 6.1963 9.3971
B 10.4650 6.2387 11.8652
B 10.3970 6.1369 1.0193
B 8.3933 2.6398 5.2280
B 10.4471 6.2042 3.4927
B 10.4483 6.1795 7.7005
B 10.4725 6.2183 5.2157
B 8.3913 2.5621 1.0226
B 8.4646 2.6532 11.8673
B 9.2784 3.5219 6.4525
B 10.1315 5.0036 6.4480
B 10.1069 4.9699 2.2748
B 9.2626 3.4907 2.2433
B 9.3134 3.5260 10.6357
B 10.1747 4.9886 10.6504
O 4.0818 2.4958 0.2638
```

Output
- ΔE_f (raw) (eV/atom) = -0.26
- total moment (μB/cell) = 0.00
- crystal system = triclinic
- symmetry = No. 1

---

10.
The following is a PBE-GGA calculation of a relaxed structure of LiBO2, from the Alexandria database.

The structure in extended XYZ format:
```
16
Lattice="5.7579 0.0000 0.0000 0.0000 4.3968 0.0000 -2.3627 0.0000 6.2783" Properties=species:S:1:pos:R:3 pbc="T T T"
Li 0.0034 0.9578 0.9168
Li -1.1780 1.2405 4.0559
Li 4.5732 3.1562 2.2224
Li 3.3919 3.4389 5.3615
B 1.6270 2.9863 1.3922
B 0.4456 3.6088 4.5313
B 2.9496 0.7879 1.7469
B 1.7683 1.4105 4.8861
O -0.7742 3.1828 4.1960
O 0.4072 3.4124 1.0568
O 0.6482 0.6133 4.6115
O 1.8296 1.5851 1.4723
O 1.5657 2.8116 4.8060
O 2.7470 3.7835 1.6668
O 2.9881 0.9844 5.2214
O 4.1694 1.2140 2.0823
```

Output
- ΔE_f (raw) (eV/atom) = -2.39
- total moment (μB/cell) = 0.00
- crystal system = monoclinic
- symmetry = No. 14

---

11.
The following is a PBE-GGA calculation of a relaxed structure of Li3BP2O8, from the Alexandria database.

The structure in extended XYZ format:
```
28
Lattice="5.2093 0.0000 0.0000 0.0536 7.5279 0.0000 2.2241 1.5965 7.4381" Properties=species:S:1:pos:R:3 pbc="T T T"
Li 0.9937 0.3375 0.7748
Li 3.0031 4.0246 5.9629
Li 3.1111 1.0990 4.8048
Li 4.3758 8.0254 2.6333
Li 4.4838 5.0998 1.4752
Li 6.4932 8.7870 6.6633
B 1.9632 3.9117 1.9907
B 5.5238 5.2128 5.4474
P 1.6726 6.3541 3.2906
P 4.0948 6.9062 7.0937
P 3.3922 2.2182 0.3445
P 5.8144 2.7704 4.1475
O 1.0664 2.9792 2.6564
O 1.7967 2.5195 5.0831
O 1.2004 4.4355 0.8118
O 3.0984 7.9876 6.6972
O 2.4192 5.0128 2.8651
O 2.6773 7.4821 3.2972
O 4.2776 3.2681 7.3233
O 4.2577 5.8826 5.8841
O 3.2292 3.2418 1.5540
O 3.2093 5.8564 0.1149
O 4.8096 1.6423 4.1409
O 5.0678 4.1116 4.5730
O 4.3886 1.1368 0.7410
O 6.2866 4.6889 6.6264
O 5.6902 6.6049 2.3551
O 6.4205 6.1452 4.7818
```

Output
- ΔE_f (raw) (eV/atom) = -2.34
- total moment (μB/cell) = 0.00
- crystal system = triclinic
- symmetry = No. 2